Record 1
# Dy12HgAu6

An optimized crystal structure of Dy12HgAu6 (PBE-GGA, Alexandria via LeMat-Bulk).

Calculated values
Spin magnetization   0.0 μB/f.u.
Energy relative to the elements   -0.4094 eV per atom
Total energy   -0.160 hartree per atom

Cell lengths 8.525, 8.525, 8.525 Å; angles 100.92, 100.92, 100.92 degrees
Element x y z (fractional)
Dy 0.822 0.574 0.426
Dy 0.426 0.822 0.574
Dy 0.574 0.426 0.822
Dy 0.178 0.426 0.574
Dy 0.574 0.178 0.426
Dy 0.426 0.574 0.178
Dy 0.067 0.928 0.327
Dy 0.072 0.673 0.933
Dy 0.673 0.933 0.072
Dy 0.933 0.072 0.673
Dy 0.928 0.327 0.067
Dy 0.327 0.067 0.928
Hg 0.000 0.000 0.000
Au 0.694 0.862 0.389
Au 0.611 0.306 0.138
Au 0.138 0.611 0.306
Au 0.306 0.138 0.611
Au 0.389 0.694 0.862
Au 0.862 0.389 0.694


Record 2
# NbCrSi2Ir

An optimized crystal structure of NbCrSi2Ir (PBE-GGA, Alexandria via LeMat-Bulk).

Calculated values
Spin magnetization   0.7 μB/f.u.
Distance to the lowest polymorph of the same formula   0.0 meV/atom
Formation energy from raw total energies   880 meV per atom
Total energy   -0.257 hartree per atom

Cell lengths 4.518, 4.842, 4.518 Å; angles 90.00, 90.00, 90.00 degrees
Site moments in Bohr magnetons follow the coordinates.
Element x y z (fractional)
Cr 0.000 0.500 0.000  3.26
Nb 0.500 0.500 0.500  -2.06
Ir 0.000 0.000 0.000  -0.23
Si 0.000 0.000 0.500  0.01
Si 0.500 0.000 0.000  -0.01


Record 3
# Pm8PRh3I4

An optimized crystal structure of Pm8PRh3I4 (PBE-GGA, Alexandria via LeMat-Bulk).

Calculated values
Spin magnetization   0.0 μB/f.u.
Formation energy from raw total energies   -994 meV per atom
Total energy   -0.201 hartree per atom

Cell lengths 8.413, 9.330, 8.411 Å; angles 116.77, 120.01, 90.00 degrees
Element x y z (fractional)
Pm 0.232 0.684 0.952
Pm 0.232 0.684 0.465
Pm 0.271 0.312 0.542
Pm 0.719 0.684 0.952
Pm 0.281 0.316 0.048
Pm 0.729 0.688 0.458
Pm 0.768 0.316 0.535
Pm 0.768 0.316 0.048
P 0.000 0.500 0.000
Rh 0.500 0.500 0.000
Rh 0.500 0.500 0.500
Rh 0.000 0.500 0.500
I 0.500 0.000 0.000
I 0.500 0.000 0.500
I 0.000 0.000 0.000
I 0.000 0.000 0.500


Record 4
# SmEr3Os

An optimized crystal structure of SmEr3Os (PBE-GGA, Alexandria via LeMat-Bulk).

Calculated values
Spin magnetization   0.2 μB/f.u.
Distance to the lowest polymorph of the same formula   149.7 meV/atom
Energy relative to the elements   0.0303 eV per atom
Total energy   -0.217 hartree per atom

Cell lengths 3.605, 9.500, 8.829 Å; angles 105.42, 101.78, 90.00 degrees
Site moments in Bohr magnetons follow the coordinates.
Element x y z (fractional)
Sm 0.693 0.309 0.387  0.01
Sm 0.307 0.691 0.613  0.01
Er 0.001 0.175 0.002  0.01
Er 0.999 0.825 0.998  0.01
Er 0.316 0.127 0.632  0.01
Er 0.684 0.873 0.368  0.01
Er 0.097 0.545 0.195  0.10
Er 0.903 0.455 0.805  0.10
Os 0.863 0.937 0.727  0.01
Os 0.137 0.063 0.273  0.01


Record 5
# Zn3InPd6

An optimized crystal structure of Zn3InPd6 (PBE-GGA, Alexandria via LeMat-Bulk).

Calculated values
Spin magnetization   0.0 μB/f.u.
Energy relative to the elements   -0.5108 eV per atom
Total energy   -0.157 hartree per atom

Cell lengths 4.151, 8.217, 9.043 Å; angles 97.04, 90.00, 90.00 degrees
Element x y z (fractional)
Zn 0.250 0.548 0.396
Zn 0.750 0.452 0.604
Zn 0.250 0.350 0.813
Zn 0.750 0.650 0.187
Zn 0.250 0.753 0.979
Zn 0.750 0.247 0.021
In 0.250 0.940 0.614
In 0.750 0.060 0.386
Pd 0.250 0.465 0.101
Pd 0.750 0.535 0.899
Pd 0.250 0.157 0.206
Pd 0.750 0.843 0.794
Pd 0.250 0.623 0.691
Pd 0.750 0.377 0.309
Pd 0.250 0.266 0.516
Pd 0.750 0.734 0.484
Pd 0.250 0.832 0.287
Pd 0.750 0.168 0.713
Pd 0.250 0.064 0.909
Pd 0.750 0.936 0.091


Record 6
# AcCoBC

An optimized crystal structure of AcCoBC (PBE-GGA, Alexandria via LeMat-Bulk).

Calculated values
Spin magnetization   0.7 μB/f.u.
Energy relative to the elements   -0.0399 eV per atom
Total energy   -0.251 hartree per atom

Cell lengths 3.885, 3.885, 7.887 Å; angles 90.00, 90.00, 90.00 degrees
Site moments in Bohr magnetons follow the coordinates.
Element x y z (fractional)
Ac 0.000 0.500 0.817  0.01
Ac 0.500 0.000 0.183  0.01
Co 0.000 0.000 0.500  0.56
Co 0.500 0.500 0.500  0.56
B 0.000 0.500 0.372  -0.03
B 0.500 0.000 0.628  -0.03
C 0.500 0.000 0.820  0.09
C 0.000 0.500 0.180  0.09


Record 7
# LaZrCd4

An optimized crystal structure of LaZrCd4 (PBE-GGA, Alexandria via LeMat-Bulk).

Calculated values
Spin magnetization   1.8 μB/f.u.
Energy relative to the elements   -0.1299 eV per atom
Total energy   -0.110 hartree per atom

Cell lengths 5.897, 5.897, 5.897 Å; angles 60.00, 60.00, 60.00 degrees
Site moments in Bohr magnetons follow the coordinates.
Element x y z (fractional)
La 0.750 0.750 0.750  0.21
Zr 0.000 0.000 0.000  0.79
Cd 0.877 0.374 0.374  0.01
Cd 0.374 0.374 0.877  0.01
Cd 0.374 0.877 0.374  0.01
Cd 0.374 0.374 0.374  0.01


Record 8
# LiCuSn

An optimized crystal structure of LiCuSn (PBE-GGA, Alexandria via LeMat-Bulk).

Calculated values
Spin magnetization   0.0 μB/f.u.
Energy relative to the elements   -0.1824 eV per atom
Total energy   -0.129 hartree per atom

Cell lengths 3.081, 4.506, 4.506 Å; angles 120.00, 90.00, 90.00 degrees
Element x y z (fractional)
Sn 0.168 0.333 0.667
Cu 0.165 0.000 0.000
Li 0.667 0.667 0.333